# PrDySN GGA-PBE relaxed
# energy relative to the elements, uncorrected	-1.771	eV/atom
# D(E_F)	2.8	states/eV per cell
# uncorrected energy	-0.531	Ry/atom
data_PrDySN
_chemical_formula_sum 'Pr3 Dy3 S3 N3'
_symmetry_space_group_name_H-M 'R 3 m'
_symmetry_Int_Tables_number 160
_symmetry_space_group_name_Hall 'R 3 -2"'
_cell_length_a 3.7062
_cell_length_b 3.7062
_cell_length_c 19.4857
_cell_angle_alpha 90.00
_cell_angle_beta 90.00
_cell_angle_gamma 120.00
loop_
_atom_site_label
_atom_site_fract_x
_atom_site_fract_y
_atom_site_fract_z
_atom_site_occupancy
Pr1 0.0000 0.0000 0.0000 1
Dy1 0.0000 0.0000 0.5264 1
S1 0.0000 0.0000 0.7680 1
N1 0.0000 0.0000 0.2555 1



# TbTmTh4 GGA-PBE relaxed
# D(E_F)	18.4	states/eV per cell
# distance to the lowest polymorph of the same formula	0.00	eV per formula unit
# uncorrected energy	-0.472	Ry/atom
data_TbTmTh4
_chemical_formula_sum 'Tb2 Tm2 Th8'
_symmetry_space_group_name_H-M 'P 1 21/m 1'
_symmetry_Int_Tables_number 11
_symmetry_space_group_name_Hall '-P 2yb'
_cell_length_a 6.180
_cell_length_b 7.067
_cell_length_c 8.733
_cell_angle_alpha 90.00
_cell_angle_beta 90.19
_cell_angle_gamma 90.00
loop_
_atom_site_label
_atom_site_fract_x
_atom_site_fract_y
_atom_site_fract_z
_atom_site_occupancy
Tb1 0.161 0.250 0.169 1
Tm1 0.000 0.000 0.500 1
Th1 0.161 0.750 0.168 1
Th2 0.338 0.501 0.836 1
Th3 0.496 0.750 0.500 1



- Which of these has the lowest uncorrected energy?
  PrDySN



- What is the D(E_F) in the second record?
  18.4 states/eV per cell